# 1
Density functional theory data (PBE) for Tm3Ru2 after structural relaxation.

## Properties
Energy relative to the lowest polymorph listed for this composition = 0.00 eV per formula unit
Energy of formation = -330 meV/atom

```
data_Tm3Ru2
_chemical_formula_sum 'Tm6 Ru4'
_cell_length_a 4.212
_cell_length_b 5.867
_cell_length_c 9.721
_cell_angle_alpha 90.00
_cell_angle_beta 90.00
_cell_angle_gamma 111.04
_space_group_name_H-M_alt 'P 1'
_space_group_IT_number 1
loop_
_space_group_symop_operation_xyz
'x,y,z'
loop_
_atom_site_label
_atom_site_fract_x
_atom_site_fract_y
_atom_site_fract_z
Tm1 0.853 0.206 0.563
Tm2 0.147 0.794 0.063
Tm3 0.147 0.794 0.437
Tm4 0.853 0.206 0.937
Tm5 0.594 0.688 0.750
Tm6 0.406 0.312 0.250
Ru1 0.500 0.500 0.500
Ru2 0.500 0.500 0.000
Ru3 0.306 0.111 0.750
Ru4 0.694 0.889 0.250
```



# 2
Density functional theory data (PBE) for Nb2MoAu after structural relaxation.

## Properties
Energy relative to the lowest polymorph listed for this composition = 2.39 eV per formula unit
Energy of formation = 525 meV/atom

```
data_Nb2MoAu
_chemical_formula_sum 'Nb4 Mo2 Au2'
_cell_length_a 7.323
_cell_length_b 7.323
_cell_length_c 5.889
_cell_angle_alpha 51.55
_cell_angle_beta 51.55
_cell_angle_gamma 90.00
_space_group_name_H-M_alt 'P 1'
_space_group_IT_number 1
loop_
_space_group_symop_operation_xyz
'x,y,z'
loop_
_atom_site_label
_atom_site_fract_x
_atom_site_fract_y
_atom_site_fract_z
Mo1 0.500 0.500 0.000
Mo2 0.250 0.750 0.500
Au1 0.000 0.000 0.000
Au2 0.750 0.250 0.500
Nb1 0.609 0.125 0.250
Nb2 0.141 0.625 0.250
Nb3 0.375 0.391 0.750
Nb4 0.875 0.859 0.750
```



# 3
Density functional theory data (PBE) for RbCdSnHg after structural relaxation.

## Properties
Energy relative to the lowest polymorph listed for this composition = 0.00 eV per formula unit
Energy of formation = -111 meV/atom

```
data_RbCdSnHg
_chemical_formula_sum 'Rb1 Cd1 Sn1 Hg1'
_cell_length_a 5.085
_cell_length_b 5.091
_cell_length_c 7.046
_cell_angle_alpha 68.88
_cell_angle_beta 90.00
_cell_angle_gamma 119.96
_space_group_name_H-M_alt 'P 1'
_space_group_IT_number 1
loop_
_space_group_symop_operation_xyz
'x,y,z'
loop_
_atom_site_label
_atom_site_fract_x
_atom_site_fract_y
_atom_site_fract_z
Rb1 0.614 0.228 0.432
Cd1 0.818 0.635 0.823
Sn1 0.123 0.246 0.906
Hg1 0.399 0.799 0.078
```



# 4
Density functional theory data (PBE) for MgV2S after structural relaxation.

## Properties
Energy relative to the lowest polymorph listed for this composition = 1.19 eV per formula unit
Raw formation energy = 173.6 kJ/mol of formula units

```
data_MgV2S
_chemical_formula_sum 'Mg1 V2 S1'
_cell_length_a 4.356
_cell_length_b 4.356
_cell_length_c 4.356
_cell_angle_alpha 60.00
_cell_angle_beta 60.00
_cell_angle_gamma 60.00
_space_group_name_H-M_alt 'P 1'
_space_group_IT_number 1
loop_
_space_group_symop_operation_xyz
'x,y,z'
loop_
_atom_site_label
_atom_site_fract_x
_atom_site_fract_y
_atom_site_fract_z
S1 0.500 0.500 0.500
Mg1 0.000 0.000 0.000
V1 0.250 0.250 0.250
V2 0.750 0.750 0.750
```



# 5
Density functional theory data (PBE) for CaTcBC2 after structural relaxation.

## Properties
Energy of formation = 833 meV/atom

```
data_CaTcBC2
_chemical_formula_sum 'Ca1 Tc1 B1 C2'
_cell_length_a 4.046
_cell_length_b 4.136
_cell_length_c 4.046
_cell_angle_alpha 90.00
_cell_angle_beta 90.00
_cell_angle_gamma 90.00
_space_group_name_H-M_alt 'P 1'
_space_group_IT_number 1
loop_
_space_group_symop_operation_xyz
'x,y,z'
loop_
_atom_site_label
_atom_site_fract_x
_atom_site_fract_y
_atom_site_fract_z
C1 0.000 0.000 0.500
C2 0.500 0.000 0.000
Ca1 0.500 0.500 0.500
B1 0.000 0.500 0.000
Tc1 0.000 0.000 0.000
```



# 6
Density functional theory data (PBE) for Sm6Tl2HgO after structural relaxation.

## Properties
Raw formation energy = -451.7 kJ/mol of formula units

```
data_Sm6Tl2HgO
_chemical_formula_sum 'Sm6 Tl2 Hg1 O1'
_cell_length_a 5.422
_cell_length_b 5.422
_cell_length_c 10.521
_cell_angle_alpha 90.00
_cell_angle_beta 90.00
_cell_angle_gamma 90.00
_space_group_name_H-M_alt 'P 1'
_space_group_IT_number 1
loop_
_space_group_symop_operation_xyz
'x,y,z'
loop_
_atom_site_label
_atom_site_fract_x
_atom_site_fract_y
_atom_site_fract_z
Sm1 0.500 0.000 0.000
Sm2 0.500 0.000 0.500
Sm3 0.000 0.500 0.000
Sm4 0.000 0.500 0.500
Sm5 0.500 0.500 0.720
Sm6 0.500 0.500 0.280
Tl1 0.000 0.000 0.728
Tl2 0.000 0.000 0.272
Hg1 0.500 0.500 0.000
O1 0.500 0.500 0.500
```



# 7
Density functional theory data (PBE) for TlFeCl4 after structural relaxation.

## Properties
Energy relative to the lowest polymorph listed for this composition = 8.68 eV per formula unit
Raw formation energy = 310.4 kJ/mol of formula units

```
data_TlFeCl4
_chemical_formula_sum 'Tl1 Fe1 Cl4'
_cell_length_a 6.028
_cell_length_b 6.028
_cell_length_c 6.028
_cell_angle_alpha 60.00
_cell_angle_beta 60.00
_cell_angle_gamma 60.00
_space_group_name_H-M_alt 'P 1'
_space_group_IT_number 1
loop_
_space_group_symop_operation_xyz
'x,y,z'
loop_
_atom_site_label
_atom_site_fract_x
_atom_site_fract_y
_atom_site_fract_z
Tl1 0.000 0.000 0.000
Fe1 0.750 0.750 0.750
Cl1 0.872 0.376 0.376
Cl2 0.376 0.376 0.872
Cl3 0.376 0.872 0.376
Cl4 0.376 0.376 0.376
```



# 8
Density functional theory data (PBE) for Rb3Ho2SnO6 after structural relaxation.

## Properties
Raw formation energy = -2554.6 kJ/mol of formula units

```
data_Rb3Ho2SnO6
_chemical_formula_sum 'Rb3 Ho2 Sn1 O6'
_cell_length_a 6.067
_cell_length_b 6.067
_cell_length_c 6.858
_cell_angle_alpha 98.46
_cell_angle_beta 98.46
_cell_angle_gamma 120.01
_space_group_name_H-M_alt 'P 1'
_space_group_IT_number 1
loop_
_space_group_symop_operation_xyz
'x,y,z'
loop_
_atom_site_label
_atom_site_fract_x
_atom_site_fract_y
_atom_site_fract_z
Rb1 0.164 0.836 0.500
Rb2 0.836 0.164 0.500
Rb3 0.500 0.500 0.500
Ho1 0.333 0.667 0.000
Ho2 0.667 0.333 0.000
Sn1 0.000 0.000 0.000
O1 0.941 0.603 0.823
O2 0.721 0.721 0.177
O3 0.059 0.397 0.177
O4 0.603 0.941 0.823
O5 0.279 0.279 0.823
O6 0.397 0.059 0.177
```



# 9
Density functional theory data (PBE) for TbPrDy2Y6 after structural relaxation.

## Properties
Energy of formation = 121 meV/atom

```
data_TbPrDy2Y6
_chemical_formula_sum 'Tb2 Pr2 Dy4 Y12'
_cell_length_a 9.737
_cell_length_b 8.787
_cell_length_c 8.787
_cell_angle_alpha 117.31
_cell_angle_beta 94.71
_cell_angle_gamma 94.71
_space_group_name_H-M_alt 'P 1'
_space_group_IT_number 1
loop_
_space_group_symop_operation_xyz
'x,y,z'
loop_
_atom_site_label
_atom_site_fract_x
_atom_site_fract_y
_atom_site_fract_z
Tb1 0.250 0.977 0.023
Tb2 0.750 0.023 0.977
Pr1 0.250 0.406 0.594
Pr2 0.750 0.594 0.406
Dy1 0.455 0.808 0.708
Dy2 0.045 0.292 0.192
Dy3 0.545 0.192 0.292
Dy4 0.955 0.708 0.808
Y1 0.056 0.119 0.751
Y2 0.444 0.249 0.881
Y3 0.944 0.881 0.249
Y4 0.556 0.751 0.119
Y5 0.319 0.976 0.426
Y6 0.181 0.574 0.024
Y7 0.681 0.024 0.574
Y8 0.819 0.426 0.976
Y9 0.120 0.705 0.496
Y10 0.380 0.504 0.295
Y11 0.880 0.295 0.504
Y12 0.620 0.496 0.705
```



# 10
Density functional theory data (PBE) for In2Te5S12 after structural relaxation.

## Properties
Raw formation energy = 75.9 kJ/mol of formula units

```
data_In2Te5S12
_chemical_formula_sum 'In2 Te5 S12'
_cell_length_a 6.215
_cell_length_b 16.410
_cell_length_c 22.000
_cell_angle_alpha 21.71
_cell_angle_beta 115.92
_cell_angle_gamma 104.65
_space_group_name_H-M_alt 'P 1'
_space_group_IT_number 1
loop_
_space_group_symop_operation_xyz
'x,y,z'
loop_
_atom_site_label
_atom_site_fract_x
_atom_site_fract_y
_atom_site_fract_z
In1 0.767 0.025 0.986
In2 0.233 0.975 0.014
Te1 0.668 0.668 0.426
Te2 0.705 0.143 0.298
Te3 0.000 0.500 0.000
Te4 0.295 0.857 0.702
Te5 0.332 0.332 0.574
S1 0.768 0.140 0.636
S2 0.621 0.536 0.617
S3 0.005 0.781 0.446
S4 0.470 0.502 0.080
S5 0.133 0.127 0.358
S6 0.372 0.004 0.904
S7 0.628 0.996 0.096
S8 0.530 0.498 0.920
S9 0.867 0.873 0.642
S10 0.379 0.464 0.383
S11 0.995 0.219 0.554
S12 0.232 0.860 0.364
```



# 11
Density functional theory data (PBE) for Ac8Sm after structural relaxation.

## Properties
Energy of formation = 25 meV/atom

```
data_Ac8Sm
_chemical_formula_sum 'Ac8 Sm1'
_cell_length_a 5.612
_cell_length_b 8.844
_cell_length_c 8.844
_cell_angle_alpha 84.22
_cell_angle_beta 71.50
_cell_angle_gamma 71.50
_space_group_name_H-M_alt 'P 1'
_space_group_IT_number 1
loop_
_space_group_symop_operation_xyz
'x,y,z'
loop_
_atom_site_label
_atom_site_fract_x
_atom_site_fract_y
_atom_site_fract_z
Ac1 0.336 0.000 0.329
Ac2 0.664 0.000 0.671
Ac3 0.664 0.671 0.000
Ac4 0.000 0.669 0.331
Ac5 0.331 0.669 0.669
Ac6 0.669 0.331 0.331
Ac7 0.000 0.331 0.669
Ac8 0.336 0.329 0.000
Sm1 0.000 0.000 0.000
```



# 12
Density functional theory data (PBE) for RbNiRu2 after structural relaxation.

## Properties
Energy relative to the lowest polymorph listed for this composition = 0.00 eV per formula unit
Energy of formation = 1338 meV/atom

```
data_RbNiRu2
_chemical_formula_sum 'Rb2 Ni2 Ru4'
_cell_length_a 4.816
_cell_length_b 4.816
_cell_length_c 9.276
_cell_angle_alpha 74.95
_cell_angle_beta 74.95
_cell_angle_gamma 90.00
_space_group_name_H-M_alt 'P 1'
_space_group_IT_number 1
loop_
_space_group_symop_operation_xyz
'x,y,z'
loop_
_atom_site_label
_atom_site_fract_x
_atom_site_fract_y
_atom_site_fract_z
Ru1 0.374 0.125 0.250
Ru2 0.376 0.625 0.250
Ru3 0.375 0.626 0.750
Ru4 0.875 0.624 0.750
Rb1 0.000 0.000 0.000
Rb2 0.750 0.250 0.500
Ni1 0.500 0.500 0.000
Ni2 0.250 0.750 0.500
```



Which ρ belongs to each record? In order, 10.5, 10.6, 6.0, 4.5, 4.2, 8.2, 4.3, 6.4, 5.8, 3.1, 8.3, 5.7 Mg/m³.